Computed, not measured: a relaxed structure of NdMgCo2Ge2 at the GGA-PBE level of DFT.

Cell lengths 4.156, 4.156, 6.852 Å; angles 90.00, 90.00, 120.00 degrees
Atoms (fractional coordinates):
Nd 0.000 0.000 0.000
Mg 0.000 0.000 0.500
Co 0.333 0.667 0.637
Co 0.667 0.333 0.363
Ge 0.333 0.667 0.282
Ge 0.667 0.333 0.718

- ΔE_f: -481 meV/atom
- Raw total energy: -32.7 eV per formula unit
- SG: P-3m1, No. 164

=====

Computed, not measured: a relaxed structure of Mg3BiSe at the GGA-PBE level of DFT.

Cell lengths 5.122, 5.122, 5.122 Å; angles 90.00, 90.00, 90.00 degrees
Atoms (fractional coordinates):
Mg 0.000 0.000 0.500
Mg 0.000 0.500 0.000
Mg 0.500 0.000 0.000
Bi 0.500 0.500 0.500
Se 0.000 0.000 0.000

- Formation energy (no corrections): -0.21 eV/atom
- Raw total energy: -13.2 eV per formula unit
- SG: Pm-3m, No. 221
- Distance to the lowest polymorph of the same formula: 0.000 eV per atom

=====

Computed, not measured: a relaxed structure of CaTbInGa at the GGA-PBE level of DFT.

Cell lengths 3.699, 3.699, 7.545 Å; angles 90.00, 90.00, 90.00 degrees
Atoms (fractional coordinates):
Ca 0.000 0.000 0.000
Tb 0.000 0.000 0.531
In 0.500 0.500 0.269
Ga 0.500 0.500 0.757

- ΔE_f: -491 meV/atom
- Raw total energy: -14.4 eV per formula unit
- SG: P4mm, No. 99
- Distance to the lowest polymorph of the same formula: 0.000 eV per atom

=====

Computed, not measured: a relaxed structure of As3C5 at the GGA-PBE level of DFT.

Cell lengths 6.517, 8.080, 6.518 Å; angles 90.00, 119.97, 90.00 degrees
Atoms (fractional coordinates):
As 0.012 0.250 0.430
As 0.412 0.250 0.994
As 0.424 0.750 0.406
As 0.576 0.250 0.594
As 0.588 0.750 0.006
As 0.988 0.750 0.570
C 0.023 0.250 0.140
C 0.112 0.250 0.983
C 0.135 0.750 0.106
C 0.333 0.155 0.672
C 0.333 0.345 0.672
C 0.667 0.655 0.328
C 0.667 0.845 0.328
C 0.865 0.250 0.894
C 0.888 0.750 0.017
C 0.977 0.750 0.860

- ΔE_f: 1287 meV/atom
- Raw total energy: -49.8 eV per formula unit
- SG: P2_1/m, No. 11
- Distance to the lowest polymorph of the same formula: 0.000 eV per atom